Below is a relaxed structure of Mg4CuNi3, with properties calculated at the PBE level.

Properties
energy of formation: -1.09 eV/f.u.
ρ: 4.83 g/cm³
density of states at the Fermi level: 3.7 states/eV/f.u.

a = 4.354 Å, b = 6.113 Å, c = 8.708 Å
α = 90.00°, β = 90.00°, γ = 90.00°
Fractional positions:
Ni 0.501 0.500 0.250
Ni 0.501 0.000 0.250
Ni 0.499 0.500 0.750
Ni 0.000 0.000 0.000
Ni 0.499 0.000 0.750
Ni 0.000 0.000 0.500
Cu 0.000 0.500 0.500
Cu 0.000 0.500 0.000
Mg 0.001 0.754 0.250
Mg 0.999 0.246 0.750
Mg 0.500 0.245 0.000
Mg 0.500 0.755 0.000
Mg 0.999 0.754 0.750
Mg 0.001 0.246 0.250
Mg 0.500 0.245 0.500
Mg 0.500 0.755 0.500

---

Below is a relaxed structure of KTm4Te6, with properties calculated at the PBE level.

Properties
ΔE_f (raw): -124.5 kJ/mol of atoms
ρ: 6.79 g/cm³
density of states at the Fermi level: 2.6 states/eV/f.u.

a = 4.378 Å, b = 7.543 Å, c = 22.913 Å
α = 90.00°, β = 90.00°, γ = 106.87°
Fractional positions:
Te 0.043 0.087 0.155
Te 0.771 0.543 0.082
Te 0.229 0.457 0.918
Te 0.500 0.000 0.500
Te 0.500 0.000 0.000
Te 0.229 0.457 0.582
Te 0.957 0.913 0.845
Te 0.343 0.687 0.250
Te 0.043 0.087 0.345
Te 0.957 0.913 0.655
Te 0.657 0.313 0.750
Te 0.771 0.543 0.418
Tm 0.865 0.730 0.540
Tm 0.408 0.816 0.369
Tm 0.135 0.270 0.460
Tm 0.135 0.270 0.040
Tm 0.592 0.184 0.631
Tm 0.865 0.730 0.960
Tm 0.592 0.184 0.869
Tm 0.408 0.816 0.131
K 0.340 0.679 0.750
K 0.660 0.321 0.250

---

Below is a relaxed structure of Ho2PbAu, with properties calculated at the PBE level.

Properties
energy of formation: -2.08 eV/f.u.
ρ: 10.88 g/cm³
density of states at the Fermi level: 3.0 states/eV/f.u.

a = 3.872 Å, b = 3.872 Å, c = 8.912 Å
α = 77.46°, β = 77.46°, γ = 60.00°
Fractional positions:
Ho 0.739 0.739 0.783
Ho 0.261 0.261 0.217
Pb 0.500 0.500 0.500
Au 0.000 0.000 0.000

---

Below is a relaxed structure of PrNbAs2, with properties calculated at the PBE level.

Properties
offset from the most stable computed form: 0.0 kJ per mole of atoms
energy of formation: -3.51 eV/f.u.
ρ: 7.09 g/cm³
density of states at the Fermi level: 2.0 states/eV/f.u.

a = 3.973 Å, b = 3.973 Å, c = 6.961 Å
α = 73.42°, β = 73.42°, γ = 60.00°
Fractional positions:
As 0.738 0.738 0.786
As 0.262 0.262 0.214
Pr 0.500 0.500 0.500
Nb 0.000 0.000 0.000

---

Below is a relaxed structure of Pm3Zr2NpN6, with properties calculated at the PBE level.

Properties
ΔE_f (raw): -145.0 kJ/mol of atoms
ρ: 9.00 g/cm³
density of states at the Fermi level: 8.4 states/eV/f.u.

a = 5.922 Å, b = 5.922 Å, c = 6.035 Å
α = 99.36°, β = 99.36°, γ = 120.09°
Fractional positions:
N 0.599 0.928 0.784
N 0.256 0.256 0.786
N 0.401 0.072 0.216
N 0.744 0.744 0.214
N 0.072 0.401 0.216
N 0.928 0.599 0.784
Pm 0.500 0.500 0.500
Pm 0.168 0.832 0.500
Pm 0.832 0.168 0.500
Zr 0.333 0.667 0.000
Zr 0.667 0.333 0.000
Np 0.000 0.000 0.000

---

Below is a relaxed structure of BeW, with properties calculated at the PBE level.

Properties
offset from the most stable computed form: 46.6 kJ per mole of atoms
energy of formation: 0.51 eV/f.u.
ρ: 13.17 g/cm³
density of states at the Fermi level: 0.6 states/eV/f.u.

a = 5.794 Å, b = 7.246 Å, c = 9.267 Å
α = 90.00°, β = 90.00°, γ = 90.00°
Fractional positions:
Be 0.575 0.750 0.250
Be 0.325 0.000 0.000
Be 0.825 0.500 0.000
Be 0.825 0.000 0.500
Be 0.425 0.250 0.250
Be 0.075 0.250 0.250
Be 0.925 0.250 0.750
Be 0.325 0.500 0.500
Be 0.925 0.750 0.250
Be 0.675 0.500 0.500
Be 0.175 0.000 0.500
Be 0.175 0.500 0.000
Be 0.575 0.250 0.750
Be 0.075 0.750 0.750
Be 0.425 0.750 0.750
Be 0.675 0.000 0.000
W 0.750 0.447 0.250
W 0.000 0.697 0.500
W 0.250 0.947 0.250
W 0.750 0.947 0.750
W 0.250 0.553 0.250
W 0.500 0.303 0.000
W 0.500 0.697 0.000
W 0.250 0.053 0.750
W 0.500 0.803 0.500
W 0.500 0.197 0.500
W 0.250 0.447 0.750
W 0.750 0.053 0.250
W 0.000 0.197 0.000
W 0.000 0.303 0.500
W 0.000 0.803 0.000
W 0.750 0.553 0.750

---

Below is a relaxed structure of CaPd3Pb3, with properties calculated at the PBE level.

Properties
offset from the most stable computed form: 2.4 kJ per mole of atoms
energy of formation: -2.44 eV/f.u.
ρ: 9.34 g/cm³
density of states at the Fermi level: 1.9 states/eV/f.u.

a = 8.561 Å, b = 8.561 Å, c = 7.392 Å
α = 54.61°, β = 54.61°, γ = 60.00°
Fractional positions:
Pd 0.054 0.705 0.825
Pd 0.584 0.946 0.175
Pd 0.946 0.295 0.175
Pd 0.416 0.054 0.825
Pd 0.705 0.416 0.825
Pd 0.295 0.584 0.175
Pb 0.116 0.398 0.678
Pb 0.398 0.808 0.678
Pb 0.192 0.884 0.322
Pb 0.602 0.192 0.322
Pb 0.808 0.116 0.678
Pb 0.884 0.602 0.322
Ca 0.331 0.331 0.006
Ca 0.669 0.669 0.994